Below is a geometry-optimized CaPaNiIr structure, with properties calculated at the PBE level.

Output
E_form	-0.32	eV per atom
mass density	10.94	g/cm³
E	-6.856	eV per atom

The structure in POSCAR format:
```
CaPaNiIr
1.0
6.819 0.000 0.000
0.000 6.819 0.000
0.000 0.000 6.819
Ca Pa Ni Ir
4 4 4 4
direct
0.000 0.000 0.000
0.000 0.500 0.500
0.500 0.000 0.500
0.500 0.500 0.000
0.000 0.000 0.500
0.000 0.500 0.000
0.500 0.000 0.000
0.500 0.500 0.500
0.250 0.250 0.250
0.250 0.750 0.750
0.750 0.250 0.750
0.750 0.750 0.250
0.250 0.250 0.750
0.250 0.750 0.250
0.750 0.250 0.250
0.750 0.750 0.750
```

Below is a geometry-optimized Tl4Cd4Sn3 structure, with properties calculated at the PBE level.

Output
E_form	0.05	eV per atom
mass density	8.82	g/cm³
E	-2.237	eV per atom

The structure in POSCAR format:
```
Tl4Cd4Sn3
1.0
3.233 0.000 0.000
-0.407 5.517 0.000
-0.414 -1.980 17.129
Tl Cd Sn
4 4 3
direct
0.152 0.098 0.179
0.245 0.724 0.447
0.755 0.276 0.553
0.848 0.902 0.821
0.239 0.827 0.640
0.266 0.455 0.917
0.734 0.545 0.083
0.761 0.173 0.360
0.264 0.374 0.734
0.500 0.000 0.000
0.736 0.626 0.266
```

Below is a geometry-optimized Tm12Si5Sn structure, with properties calculated at the PBE level.

Output
mass density	8.62	g/cm³
E	-5.299	eV per atom
ΔE_f (raw)	-589	meV/atom

The structure in POSCAR format:
```
Tm12Si5Sn
1.0
-4.663 4.671 5.053
4.663 -4.671 5.053
4.663 4.671 -5.053
Tm Si Sn
12 5 1
direct
0.037 0.235 0.802
0.181 0.270 0.451
0.181 0.730 0.911
0.321 0.025 0.704
0.321 0.617 0.296
0.433 0.235 0.198
0.567 0.765 0.802
0.679 0.383 0.704
0.679 0.975 0.296
0.819 0.270 0.089
0.819 0.730 0.549
0.963 0.765 0.198
0.000 0.000 0.000
0.117 0.617 0.500
0.370 0.000 0.370
0.630 0.000 0.630
0.883 0.383 0.500
0.500 0.500 0.000
```

Below is a geometry-optimized Pr2SmCd structure, with properties calculated at the PBE level.

Output
E_form	-0.15	eV per atom
mass density	7.01	g/cm³
relative energy among the computed polymorphs	0	meV/atom
E	-3.944	eV per atom

The structure in POSCAR format:
```
Pr2SmCd
1.0
3.762 0.000 0.000
0.000 3.762 0.000
0.000 0.000 9.110
Pr Sm Cd
2 1 1
direct
0.000 0.000 0.225
0.000 0.000 0.775
0.500 0.500 0.500
0.500 0.500 0.000
```

Below is a geometry-optimized EuInO2 structure, with properties calculated at the PBE level.

Output
mass density	7.24	g/cm³
E	-7.560	eV per atom
ΔE_f (raw)	-1828	meV/atom

The structure in POSCAR format:
```
EuInO2
1.0
3.599 0.000 0.000
-1.799 3.116 0.000
0.000 0.000 18.324
Eu In O
3 3 6
direct
0.000 0.000 0.000
0.333 0.667 0.667
0.667 0.333 0.333
0.000 0.000 0.500
0.333 0.667 0.167
0.667 0.333 0.833
0.000 0.000 0.267
0.000 0.000 0.733
0.333 0.667 0.400
0.333 0.667 0.933
0.667 0.333 0.067
0.667 0.333 0.600
```

Below is a geometry-optimized LaAsRu2 structure, with properties calculated at the PBE level.

Output
E_form	-0.08	eV per atom
mass density	9.15	g/cm³
E	-7.111	eV per atom

The structure in POSCAR format:
```
LaAsRu2
1.0
2.987 0.000 0.000
0.000 3.931 0.000
0.000 0.000 6.428
La As Ru
1 1 2
direct
0.000 0.000 0.000
0.500 0.500 0.668
0.000 0.000 0.468
0.500 0.500 0.293
```

Below is a geometry-optimized Ce6TcBi2 structure, with properties calculated at the PBE level.

Output
E_form	-0.36	eV per atom
mass density	8.74	g/cm³
E	-6.327	eV per atom

The structure in POSCAR format:
```
Ce6TcBi2
1.0
4.426 0.000 0.000
0.000 7.197 4.045
0.000 -7.197 4.045
Ce Tc Bi
6 1 2
direct
0.000 0.000 0.000
0.000 0.489 0.671
0.000 0.671 0.489
0.500 0.078 0.715
0.500 0.264 0.264
0.500 0.715 0.078
0.500 0.782 0.782
0.000 0.021 0.395
0.000 0.395 0.021
```

Below is a geometry-optimized UPaTe2C structure, with properties calculated at the PBE level.

Output
mass density	9.67	g/cm³
E	-7.796	eV per atom
ΔE_f (raw)	-537	meV/atom

The structure in POSCAR format:
```
UPaTe2C
1.0
4.166 0.000 0.000
0.000 4.166 0.000
0.000 0.000 14.560
U Pa Te C
2 2 4 2
direct
0.250 0.250 0.090
0.750 0.750 0.910
0.250 0.250 0.574
0.750 0.750 0.426
0.250 0.250 0.302
0.250 0.250 0.873
0.750 0.750 0.127
0.750 0.750 0.698
0.250 0.750 0.500
0.750 0.250 0.500
```

Below is a geometry-optimized LiPrGa2 structure, with properties calculated at the PBE level.

Output
E_form	-0.43	eV per atom
mass density	5.51	g/cm³
relative energy among the computed polymorphs	50	meV/atom
E	-3.619	eV per atom

The structure in POSCAR format:
```
LiPrGa2
1.0
7.022 0.000 0.000
0.000 7.022 0.000
0.000 0.000 7.022
Li Pr Ga
4 4 8
direct
0.000 0.000 0.000
0.000 0.500 0.500
0.500 0.000 0.500
0.500 0.500 0.000
0.000 0.000 0.500
0.000 0.500 0.000
0.500 0.000 0.000
0.500 0.500 0.500
0.250 0.250 0.250
0.250 0.250 0.750
0.250 0.750 0.250
0.250 0.750 0.750
0.750 0.250 0.250
0.750 0.250 0.750
0.750 0.750 0.250
0.750 0.750 0.750
```

Below is a geometry-optimized ZrReBr2 structure, with properties calculated at the PBE level.

Output
mass density	9.27	g/cm³
relative energy among the computed polymorphs	951	meV/atom
E	-5.367	eV per atom
ΔE_f (raw)	718	meV/atom

The structure in POSCAR format:
```
ZrReBr2
1.0
4.206 0.000 0.000
0.000 4.206 0.000
0.000 0.000 8.859
Zr Re Br
2 2 4
direct
0.000 0.000 0.000
0.500 0.500 0.500
0.000 0.500 0.250
0.500 0.000 0.750
0.000 0.000 0.500
0.000 0.500 0.750
0.500 0.000 0.250
0.500 0.500 0.000
```

Below is a geometry-optimized Mg2Zr2Au structure, with properties calculated at the PBE level.

Output
E_form	0.29	eV per atom
mass density	5.92	g/cm³
relative energy among the computed polymorphs	319	meV/atom
E	-4.427	eV per atom

The structure in POSCAR format:
```
Mg2Zr2Au
1.0
3.804 0.000 0.000
0.000 3.804 0.000
0.000 0.000 16.599
Mg Zr Au
4 4 2
direct
0.000 0.000 0.088
0.000 0.000 0.912
0.500 0.500 0.412
0.500 0.500 0.588
0.000 0.500 0.250
0.000 0.500 0.750
0.500 0.000 0.250
0.500 0.000 0.750
0.000 0.000 0.500
0.500 0.500 0.000
```

Below is a geometry-optimized Ac3TeI7 structure, with properties calculated at the PBE level.

Output
mass density	4.53	g/cm³
E	-3.907	eV per atom
ΔE_f (raw)	-1514	meV/atom

The structure in POSCAR format:
```
Ac3TeI7
1.0
9.733 0.000 0.000
-4.866 8.429 0.000
0.000 0.000 7.582
Ac Te I
3 1 7
direct
0.172 0.344 0.000
0.172 0.828 0.000
0.656 0.828 0.000
0.333 0.667 0.230
0.000 0.000 0.751
0.012 0.506 0.754
0.318 0.159 0.228
0.494 0.506 0.754
0.494 0.988 0.754
0.841 0.159 0.228
0.841 0.682 0.228
```

Below is a geometry-optimized DyY2Ho2Sc2 structure, with properties calculated at the PBE level.

Output
E_form	0.11	eV per atom
mass density	6.02	g/cm³
E	-5.513	eV per atom

The structure in POSCAR format:
```
DyY2Ho2Sc2
1.0
11.246 0.000 0.000
0.000 3.418 0.000
-3.798 0.000 10.904
Dy Y Ho Sc
2 4 4 4
direct
0.000 0.000 0.000
0.500 0.500 0.000
0.170 0.500 0.587
0.330 0.000 0.413
0.670 0.000 0.587
0.830 0.500 0.413
0.048 0.500 0.267
0.452 0.000 0.733
0.548 0.000 0.267
0.952 0.500 0.733
0.227 0.000 0.866
0.273 0.500 0.134
0.727 0.500 0.866
0.773 0.000 0.134
```

Below is a geometry-optimized PmNd8Tm6 structure, with properties calculated at the PBE level.

Output
E_form	0.16	eV per atom
mass density	7.63	g/cm³
E	-4.485	eV per atom

The structure in POSCAR format:
```
PmNd8Tm6
1.0
4.627 2.672 6.788
-4.627 2.672 6.788
0.000 -5.343 6.788
Pm Nd Tm
1 8 6
direct
0.000 0.000 0.000
0.087 0.667 0.772
0.228 0.913 0.333
0.333 0.228 0.913
0.426 0.426 0.426
0.574 0.574 0.574
0.667 0.772 0.087
0.772 0.087 0.667
0.913 0.333 0.228
0.108 0.259 0.551
0.259 0.551 0.108
0.449 0.892 0.741
0.551 0.108 0.259
0.741 0.449 0.892
0.892 0.741 0.449
```

Below is a geometry-optimized Nd2HgTe structure, with properties calculated at the PBE level.

Output
mass density	8.04	g/cm³
relative energy among the computed polymorphs	0	meV/atom
E	-4.166	eV per atom
ΔE_f (raw)	-921	meV/atom

The structure in POSCAR format:
```
Nd2HgTe
1.0
4.333 0.000 0.000
-2.167 3.753 0.000
0.000 0.000 23.500
Nd Hg Te
6 3 3
direct
0.000 0.000 0.249
0.000 0.000 0.751
0.333 0.667 0.418
0.333 0.667 0.915
0.667 0.333 0.085
0.667 0.333 0.582
0.000 0.000 0.000
0.333 0.667 0.667
0.667 0.333 0.333
0.000 0.000 0.500
0.333 0.667 0.167
0.667 0.333 0.833
```

Below is a geometry-optimized TmTlAgTe2 structure, with properties calculated at the PBE level.

Output
mass density	7.38	g/cm³
E	-3.706	eV per atom
ΔE_f (raw)	-511	meV/atom

The structure in POSCAR format:
```
TmTlAgTe2
1.0
8.205 0.000 0.000
0.000 4.878 0.000
-1.095 0.000 8.274
Tm Tl Ag Te
2 2 2 4
direct
0.000 0.004 0.250
0.000 0.996 0.750
0.500 0.383 0.750
0.500 0.617 0.250
0.000 0.500 0.000
0.000 0.500 0.500
0.258 0.108 0.032
0.258 0.892 0.532
0.742 0.108 0.468
0.742 0.892 0.968
```

Below is a geometry-optimized NdDy2Th structure, with properties calculated at the PBE level.

Output
E_form	0.01	eV per atom
mass density	8.94	g/cm³
relative energy among the computed polymorphs	0	meV/atom
E	-5.335	eV per atom

The structure in POSCAR format:
```
NdDy2Th
1.0
3.602 0.000 0.000
-1.801 3.120 0.000
0.000 0.000 34.759
Nd Dy Th
3 6 3
direct
0.000 0.000 0.000
0.333 0.667 0.667
0.667 0.333 0.333
0.000 0.000 0.580
0.000 0.000 0.752
0.333 0.667 0.247
0.333 0.667 0.419
0.667 0.333 0.085
0.667 0.333 0.913
0.000 0.000 0.166
0.333 0.667 0.833
0.667 0.333 0.499
```